No. 1
Entry from Alexandria via LeMat-Bulk: an optimized crystal structure of Y3NbPd12 (PBE).

Output
Formation energy from the elements ... -0.753 eV per atom
Symmetry ... P4/mmm, No. 123

POSCAR file:
```
Y3NbPd12
1.0
4.0916 0.0000 0.0000
0.0000 4.0916 0.0000
0.0000 0.0000 16.3673
Y Pd Nb
3 12 1
direct
0.0000 0.0000 0.2489
0.0000 0.0000 0.5000
0.0000 0.0000 0.7511
0.5000 0.5000 0.5000
0.0000 0.5000 0.8858
0.0000 0.5000 0.6280
0.0000 0.5000 0.3720
0.5000 0.5000 0.7573
0.5000 0.0000 0.6280
0.5000 0.0000 0.8858
0.5000 0.5000 0.2427
0.5000 0.0000 0.3720
0.5000 0.5000 0.0000
0.0000 0.5000 0.1142
0.5000 0.0000 0.1142
0.0000 0.0000 0.0000
```


No. 2
Entry from Alexandria via LeMat-Bulk: an optimized crystal structure of YNb2Pd (PBE).

Output
Formation energy from the elements ... 0.186 eV per atom
Symmetry ... I-42d, No. 122
Energy above the lowest structure with this stoichiometry ... 0 meV/atom

POSCAR file:
```
YNb2Pd
1.0
-0.7241 -2.9751 -2.4224
-1.2017 -2.1652 3.0185
-11.2074 1.1002 -1.1474
Pd Y Nb
2 2 4
direct
0.7500 0.2500 0.5000
0.0000 0.0000 0.0000
0.5000 0.5000 0.0000
0.2500 0.7500 0.5000
0.3750 0.3670 0.7500
0.8750 0.8830 0.7500
0.6330 0.1250 0.2500
0.1170 0.6250 0.2500
```